1.
Entry from Alexandria via LeMat-Bulk: crystalline Hg2Pb2I at its relaxed geometry (PBE).

a = 9.029 Å, b = 9.029 Å, c = 3.833 Å
α = 90.00°, β = 90.00°, γ = 90.00°
Space group P4/mbm (No. 127)
Inequivalent atoms, fractional coordinates:
Hg  0.117  0.383  0.000
Pb  0.189  0.689  0.500
I  0.000  0.000  0.000

Its offset from the most stable computed form is 78 meV per atom. Its crystal system is tetragonal. The raw formation energy is 7 kJ/mol of formula units.


2.
Entry from Alexandria via LeMat-Bulk: crystalline LaDyTh2 at its relaxed geometry (PBE).

a = 5.053 Å, b = 5.053 Å, c = 5.150 Å
α = 90.00°, β = 90.00°, γ = 90.00°
Space group P4/mmm (No. 123)
Inequivalent atoms, fractional coordinates:
La  0.000  0.000  0.000
Dy  0.500  0.500  0.000
Th  0.000  0.500  0.500

Its offset from the most stable computed form is 43 meV per atom. Its crystal system is tetragonal. The value obtained for the formation energy is 0.070 eV/atom.


3.
Entry from Alexandria via LeMat-Bulk: crystalline ErTa2Ru3 at its relaxed geometry (PBE).

a = 3.155 Å, b = 3.155 Å, c = 10.357 Å
α = 90.00°, β = 90.00°, γ = 90.00°
Space group P4/mmm (No. 123)
Inequivalent atoms, fractional coordinates:
Er  0.000  0.000  0.000
Ta  0.000  0.000  0.339
Ru  0.500  0.500  0.197
Ru  0.500  0.500  0.500

Its crystal system is tetragonal. The value obtained for the formation energy is -0.438 eV/atom.


Number 1: calculated total energy -9.50 eV per formula unit. Number 2: calculated total energy -24.09 eV per formula unit. Number 3: calculated total energy -58.72 eV per formula unit.